Tl2Te2H2O | PBE | optimized geometry

a = 11.572 Å, b = 4.940 Å, c = 7.441 Å
α = 90.00°, β = 123.31°, γ = 90.00°
Space group C2/m (No. 12)
One atom of each set of equivalent atoms:
Tl 0.092 0.000 0.323 (multiplicity 4)
Te 0.134 0.500 0.037 (multiplicity 4)
H 0.053 0.500 0.658 (multiplicity 4)
O 0.000 0.500 0.500 (multiplicity 2)

***

TlTe2H2O6 | PBE | optimized geometry

a = 5.471 Å, b = 5.783 Å, c = 5.939 Å
α = 83.46°, β = 80.41°, γ = 64.76°
Space group P-1 (No. 2)
One atom of each set of equivalent atoms:
Tl 0.000 0.000 0.000 (multiplicity 1)
Te 0.326 0.357 0.433 (multiplicity 2)
H 0.337 0.360 0.994 (multiplicity 2)
O 0.028 0.691 0.390 (multiplicity 2)
O 0.308 0.249 0.128 (multiplicity 2)
O 0.401 0.506 0.715 (multiplicity 2)

***

The records above give, respectively, size of the total moment values of 0.00; 0.00 μB/cell.
The records above give, respectively, energy values of -50.31; -54.96 eV/cell.